#one
4
Lattice="1.521 0.878 10.383 -1.521 0.878 10.383 0.000 -1.756 10.383" Properties=species:S:1:pos:R:3 comment="Tl2IrRh, relaxed, DFT PBE" spacegroup="No. 160" pbc="T T T"
Tl 0.000 0.000 0.000
Tl 0.000 0.000 6.879
Ir 0.000 0.000 14.774
Rh 0.000 0.000 23.176

---

#two
4
Lattice="3.218 0.000 0.000 0.000 3.218 0.000 0.000 0.000 7.078" Properties=species:S:1:pos:R:3 comment="Tl2IrRh, relaxed, DFT PBE" spacegroup="No. 123" pbc="T T T"
Tl 0.000 0.000 1.752
Tl 0.000 0.000 5.326
Ir 1.609 1.609 3.539
Rh 1.609 1.609 0.000

---

Stability check: which of them is most stable? #two.

---

#one
3
Lattice="-1.476 1.476 5.864 1.476 -1.476 5.864 1.476 1.476 -5.864" Properties=species:S:1:pos:R:3 comment="TlIrRh, relaxed, DFT PBE" spacegroup="No. 107" pbc="T T T"
Tl 0.000 0.000 0.000
Ir 0.000 0.000 7.964
Rh 0.000 0.000 3.802

---

#two
3
Lattice="2.975 0.000 0.000 -1.488 2.577 0.000 0.000 0.000 6.731" Properties=species:S:1:pos:R:3 comment="TlIrRh, relaxed, DFT PBE" spacegroup="No. 156" pbc="T T T"
Tl 0.000 0.000 0.000
Ir 1.488 0.859 2.381
Rh 0.000 1.718 4.423

---

#three
3
Lattice="-1.456 1.985 4.411 1.456 -1.985 4.411 1.456 1.985 -4.411" Properties=species:S:1:pos:R:3 comment="TlIrRh, relaxed, DFT PBE" spacegroup="No. 44" pbc="T T T"
Tl 0.000 0.000 0.000
Ir 0.000 0.000 2.842
Rh 0.000 0.000 5.975

---

#four
3
Lattice="0.000 3.100 3.100 3.100 0.000 3.100 3.100 3.100 0.000" Properties=species:S:1:pos:R:3 comment="TlIrRh, relaxed, DFT PBE" spacegroup="No. 216" pbc="T T T"
Tl 0.000 0.000 0.000
Ir 3.100 3.100 3.100
Rh 4.650 4.650 4.650

---

Stability check: which of them is most stable? #one.